1.
The following is a DFT calculation (PBE-GGA) of a relaxed HfZn4Au2 crystal.

extended XYZ file:
```
7
Lattice="3.377 0.000 -0.779 -0.179 3.372 -0.779 0.627 0.661 10.435" Properties=species:S:1:pos:R:3 pbc="T T T"
Hf 0.000 0.000 0.000
Zn 0.652 0.688 2.828
Zn 3.173 3.346 6.050
Zn 1.023 2.860 4.439
Zn 2.802 1.174 4.439
Au 1.953 2.060 0.758
Au 1.872 1.974 8.120
```

Output
Its symmetry is I4/mmm, No. 139.


2.
The following is a DFT calculation (PBE-GGA) of a relaxed HfZn3Au crystal.

extended XYZ file:
```
5
Lattice="-3.906 0.923 -2.527 0.454 -4.165 -2.223 -2.652 -2.073 3.341" Properties=species:S:1:pos:R:3 pbc="T T T"
Hf -3.052 -2.657 -0.705
Zn 0.227 -2.082 -1.112
Zn -1.326 -1.036 1.671
Zn -1.953 0.462 -1.264
Au 0.000 0.000 0.000
```

Output
Its symmetry is Pm-3m, No. 221. The calculation puts the energy above the lowest structure with this stoichiometry at 719 meV/atom.


3.
The following is a DFT calculation (PBE-GGA) of a relaxed HfZn5Au4 crystal.

extended XYZ file:
```
10
Lattice="3.178 0.000 0.000 0.000 3.178 0.000 0.000 0.000 16.443" Properties=species:S:1:pos:R:3 pbc="T T T"
Hf 0.000 0.000 0.000
Zn 1.589 1.589 1.840
Zn 1.589 1.589 5.022
Zn 1.589 1.589 8.222
Zn 1.589 1.589 11.422
Zn 1.589 1.589 14.603
Au 0.000 0.000 3.400
Au 0.000 0.000 6.609
Au 0.000 0.000 9.834
Au 0.000 0.000 13.043
```

Output
Its symmetry is P4/mmm, No. 123.


4.
The following is a DFT calculation (PBE-GGA) of a relaxed Hf2ZnAu crystal.

extended XYZ file:
```
4
Lattice="4.040 0.000 0.000 0.000 4.309 0.000 0.000 0.000 4.309" Properties=species:S:1:pos:R:3 pbc="T T T"
Hf 0.000 0.000 2.155
Hf 0.000 2.155 0.000
Zn 2.020 0.000 0.000
Au 2.020 2.155 2.155
```

Output
Its symmetry is P4/mmm, No. 123.


5.
The following is a DFT calculation (PBE-GGA) of a relaxed Hf3Zn3Au2 crystal.

extended XYZ file:
```
16
Lattice="4.253 0.001 0.000 -2.126 5.147 0.000 0.000 0.000 13.375" Properties=species:S:1:pos:R:3 pbc="T T T"
Hf 2.124 4.442 5.200
Hf 0.002 0.706 11.887
Hf 2.124 4.442 1.487
Hf 0.002 0.706 8.174
Hf 2.129 1.810 3.344
Hf -0.002 3.338 10.031
Zn 2.127 1.089 6.133
Zn 0.000 4.059 12.820
Zn 2.127 1.089 0.554
Zn 0.000 4.059 7.242
Zn -0.002 4.080 3.344
Zn 2.129 1.068 10.031
Au 2.127 2.907 11.950
Au 0.000 2.241 5.263
Au 2.127 2.907 8.112
Au 0.000 2.241 1.425
```

Output
Its symmetry is Cmcm, No. 63.


6.
The following is a DFT calculation (PBE-GGA) of a relaxed HfZn3Au4 crystal.

extended XYZ file:
```
16
Lattice="-3.036 -1.154 3.259 4.675 0.423 4.504 -2.022 8.888 1.264" Properties=species:S:1:pos:R:3 pbc="T T T"
Au 2.024 -0.256 5.042
Au 1.013 4.188 5.674
Au -0.385 -0.475 2.721
Au -1.396 3.970 3.353
Au 2.000 6.977 4.386
Au 0.024 1.398 6.960
Au -2.383 1.180 4.641
Au -0.407 6.759 2.067
Zn 0.000 0.000 0.000
Zn -1.011 4.444 0.632
Zn -3.062 6.079 2.607
Zn -1.996 1.655 1.916
Zn -0.719 6.292 4.853
Zn 0.336 1.865 4.174
Hf 2.337 0.212 2.252
Hf 1.326 4.656 2.884
```

Output
Its symmetry is Pmma, No. 51.


7.
The following is a DFT calculation (PBE-GGA) of a relaxed HfZnAu4 crystal.

extended XYZ file:
```
12
Lattice="-0.217 -4.218 4.961 6.482 -0.613 -0.238 -2.570 6.881 1.460" Properties=species:S:1:pos:R:3 pbc="T T T"
Hf 0.000 0.000 0.000
Hf 0.173 0.124 4.391
Zn 3.522 1.927 1.792
Zn 3.133 -2.415 2.361
Au -1.147 4.499 1.753
Au 4.751 -2.498 4.501
Au 2.094 4.193 1.634
Au 1.796 -0.100 2.133
Au -1.250 2.506 4.098
Au 1.991 2.200 3.979
Au 4.859 -0.389 2.020
Au 1.687 -2.208 4.613
```

Output
Its symmetry is I4_1/amd, No. 141. The calculation puts the energy above the lowest structure with this stoichiometry at 223 meV/atom.


8.
The following is a DFT calculation (PBE-GGA) of a relaxed Hf2ZnAu crystal.

extended XYZ file:
```
4
Lattice="-1.483 3.859 -1.449 -3.358 0.139 -2.809 -4.798 1.539 2.405" Properties=species:S:1:pos:R:3 pbc="T T T"
Hf -4.557 1.523 2.117
Hf -2.642 1.399 -0.185
Zn -6.577 4.110 -2.175
Au -5.481 2.811 -0.133
```

Output
Its symmetry is R3m, No. 160.


9.
The following is a DFT calculation (PBE-GGA) of a relaxed Hf2Zn15Au2 crystal.

extended XYZ file:
```
19
Lattice="-6.149 2.132 -1.637 0.162 -1.831 -6.454 -3.150 -5.882 0.712" Properties=species:S:1:pos:R:3 pbc="T T T"
Hf -3.129 -1.911 -2.527
Hf -6.008 -3.670 -4.852
Zn 0.081 -0.915 -3.227
Zn -1.575 -2.941 0.356
Zn -3.074 1.066 -0.819
Zn -5.240 -0.296 -0.925
Zn -1.750 -0.630 -4.994
Zn -2.147 -4.655 -1.459
Zn -4.236 0.931 -3.097
Zn -0.841 -3.058 -4.283
Zn -4.059 -3.454 0.000
Zn -5.946 -2.714 -1.669
Zn -4.370 -0.786 -5.079
Zn -2.943 -4.599 -3.961
Zn -3.191 -2.868 -5.711
Zn -4.767 -4.795 -2.301
Zn -6.194 -0.982 -3.418
Au -1.044 -0.638 -0.843
Au -8.093 -4.944 -6.536
```

Output
Its symmetry is R-3m, No. 166.


10.
The following is a DFT calculation (PBE-GGA) of a relaxed Hf5Zn3Au12 crystal.

extended XYZ file:
```
80
Lattice="-7.036 4.369 -10.566 6.006 -11.597 -3.108 -8.266 -1.890 10.408" Properties=species:S:1:pos:R:3 pbc="T T T"
Zn -4.058 -1.309 -7.789
Zn -2.685 -5.112 -10.276
Zn -3.300 -8.241 0.212
Zn -4.108 -1.066 0.873
Zn -7.472 1.900 -7.032
Zn -0.951 -6.083 -3.303
Zn -8.344 -3.036 0.037
Zn -1.824 -11.019 3.766
Zn -5.188 -8.052 -4.139
Zn -5.995 -0.878 -3.478
Zn -6.611 -4.007 7.009
Zn -5.238 -7.810 4.523
Hf -0.694 -4.275 0.116
Hf 3.003 -5.799 -1.554
Hf 0.000 0.000 0.000
Hf -2.170 -1.497 -3.438
Hf -7.651 1.239 -0.079
Hf -0.515 -3.614 -6.837
Hf 0.525 -8.861 0.251
Hf -11.759 0.173 0.794
Hf -4.623 -4.681 -5.964
Hf -8.087 -1.229 3.455
Hf -1.208 -7.890 -6.722
Hf -4.648 -4.559 -1.633
Hf -3.518 2.184 -5.283
Hf -4.133 -0.945 5.204
Hf -4.673 -4.438 2.698
Hf 2.463 -9.292 -4.060
Hf -1.130 -6.744 3.650
Hf -9.821 -0.258 -3.517
Hf -7.126 -7.621 0.172
Hf -8.602 -4.843 -3.382
Au -4.959 1.553 -7.475
Au -2.532 -5.973 -0.736
Au -6.518 -0.695 -8.238
Au -3.676 -0.508 -5.372
Au -5.345 -7.165 -1.728
Au -4.551 -2.781 -9.843
Au -1.025 -8.148 -1.768
Au 3.841 -10.361 -2.075
Au -3.889 -9.597 -1.897
Au -2.938 -4.107 -7.918
Au -5.822 -2.357 -5.578
Au -0.802 -7.358 -10.989
Au -1.211 -9.041 2.236
Au -0.826 -3.657 -4.157
Au 1.853 -11.104 -0.187
Au -6.644 -0.870 1.270
Au -1.684 -1.934 0.840
Au 0.455 -5.978 -5.970
Au -2.655 -7.248 -8.839
Au 0.923 -4.130 -1.970
Au -3.306 -10.632 1.167
Au -3.435 -5.621 -3.798
Au -6.295 -6.638 -6.563
Au -10.777 -2.214 0.223
Au -5.860 -3.498 0.532
Au -3.000 -2.481 3.296
Au 1.482 -6.905 -3.489
Au -6.641 -1.870 5.573
Au -5.989 1.513 -4.433
Au -10.219 -4.989 -1.296
Au -9.751 -3.140 2.704
Au -2.651 -8.249 -4.536
Au -7.612 -7.185 -4.106
Au -11.149 1.985 -3.079
Au -8.085 -0.078 -5.502
Au -8.494 -1.760 7.722
Au -8.470 -5.462 0.891
Au -5.406 0.478 -1.370
Au -6.358 -5.012 4.652
Au -3.473 -6.762 2.312
Au -13.137 1.243 -1.192
Au -8.271 -0.970 -1.499
Au -5.619 -8.611 2.106
Au -4.744 -6.337 6.577
Au -3.950 -1.954 -1.539
Au -2.778 -8.423 4.971
Au -6.764 -3.145 -2.531
Au -4.336 -10.672 4.209
```

Output
Its symmetry is Ia-3d, No. 230.


11.
The following is a DFT calculation (PBE-GGA) of a relaxed HfZnAu crystal.

extended XYZ file:
```
6
Lattice="-0.972 3.060 -2.289 -2.098 -2.628 -2.623 -4.871 -0.667 4.565" Properties=species:S:1:pos:R:3 pbc="T T T"
Hf -5.452 1.588 1.036
Hf -2.489 -1.822 -1.384
Zn -3.195 -0.226 1.049
Zn -4.746 -0.008 -1.396
Au -2.146 1.058 -1.077
Au -5.795 -1.293 0.730
```

Output
Its symmetry is P2_1/m, No. 11.


12.
The following is a DFT calculation (PBE-GGA) of a relaxed HfZn4Au5 crystal.

extended XYZ file:
```
10
Lattice="3.193 0.000 0.000 0.000 3.193 0.000 0.000 0.000 16.585" Properties=species:S:1:pos:R:3 pbc="T T T"
Hf 0.000 0.000 0.000
Zn 0.000 0.000 3.487
Zn 0.000 0.000 6.694
Zn 0.000 0.000 9.891
Zn 0.000 0.000 13.098
Au 1.597 1.597 1.864
Au 1.597 1.597 5.094
Au 1.597 1.597 8.292
Au 1.597 1.597 11.490
Au 1.597 1.597 14.720
```

Output
Its symmetry is P4/mmm, No. 123.


13.
The following is a DFT calculation (PBE-GGA) of a relaxed Hf2Zn12Au crystal.

extended XYZ file:
```
30
Lattice="-2.395 -2.516 4.239 -3.637 -2.280 -3.408 10.167 -13.145 -2.058" Properties=species:S:1:pos:R:3 pbc="T T T"
Hf 1.424 -4.647 1.589
Hf 0.803 -4.529 -2.235
Hf 5.727 -10.895 -3.231
Hf 6.348 -11.014 0.592
Zn 5.094 -12.884 -1.226
Zn 8.110 -10.486 -1.642
Zn 4.553 -15.333 -1.214
Zn 5.751 -14.075 -3.333
Zn 3.469 -4.485 -0.702
Zn -2.237 -3.747 -1.717
Zn 2.570 -10.309 1.228
Zn 0.453 -6.883 -0.287
Zn 7.569 -12.935 -1.630
Zn -3.435 -5.005 0.403
Zn 4.363 -8.677 -0.334
Zn 2.186 -7.750 1.369
Zn 6.697 -8.659 -1.356
Zn 2.788 -6.865 -1.308
Zn -0.419 -2.607 -0.013
Zn -0.025 -9.302 0.360
Zn 1.143 -11.037 -1.170
Zn 2.056 -2.659 -0.416
Zn 2.937 -9.405 -2.732
Zn 3.681 -11.057 -0.940
Zn 6.372 -14.193 0.490
Zn -0.960 -5.057 -0.001
Zn 0.577 -8.417 -2.318
Zn -1.616 -3.866 2.107
Au -1.198 -1.258 2.120
Au -1.819 -1.140 -1.704
```

Output
Its symmetry is P4/nbm, No. 125.


14.
The following is a DFT calculation (PBE-GGA) of a relaxed Hf2ZnAu crystal.

extended XYZ file:
```
4
Lattice="-2.253 1.194 -2.079 -3.017 -1.310 -0.086 -4.346 5.528 5.280" Properties=species:S:1:pos:R:3 pbc="T T T"
Hf -2.387 1.317 0.739
Hf -7.229 4.095 2.375
Zn 0.000 0.000 0.000
Au -4.808 2.706 1.557
```

Output
Its symmetry is R-3m, No. 166.


15.
The following is a DFT calculation (PBE-GGA) of a relaxed Hf4ZnAu crystal.

extended XYZ file:
```
6
Lattice="-3.618 -1.520 -2.318 1.096 -4.285 1.100 -3.634 0.451 5.376" Properties=species:S:1:pos:R:3 pbc="T T T"
Hf -1.650 -4.920 1.309
Hf -3.413 -4.702 3.918
Hf -2.152 -1.799 4.527
Hf -0.388 -2.018 1.918
Zn -0.723 -4.051 3.773
Au -4.897 -2.443 4.751
```

Output
Its symmetry is P4/mmm, No. 123.


16.
The following is a DFT calculation (PBE-GGA) of a relaxed Hf2ZnAu4 crystal.

extended XYZ file:
```
7
Lattice="4.829 0.000 0.000 0.000 4.829 0.000 2.415 2.415 6.861" Properties=species:S:1:pos:R:3 pbc="T T T"
Hf 2.415 2.415 1.581
Hf 4.829 4.829 5.280
Zn 0.000 0.000 0.000
Au 2.415 2.415 4.238
Au 4.829 4.829 2.623
Au 0.000 2.415 0.000
Au 2.415 0.000 0.000
```

Output
Its symmetry is I4/mmm, No. 139. The calculation puts the energy above the lowest structure with this stoichiometry at 576 meV/atom.


17.
The following is a DFT calculation (PBE-GGA) of a relaxed HfZnAu6 crystal.

extended XYZ file:
```
8
Lattice="-1.773 3.353 -1.811 -1.508 -0.751 -4.792 -7.621 -1.079 0.588" Properties=species:S:1:pos:R:3 pbc="T T T"
Hf -4.564 -0.915 -2.102
Zn 0.000 0.000 0.000
Au -6.522 -0.475 -4.246
Au -7.000 0.700 -1.603
Au -1.984 0.367 -2.254
Au -3.902 0.822 -4.412
Au -4.379 1.997 -1.769
Au -8.918 1.155 -3.761
```

Output
Its symmetry is C2/m, No. 12.


18.
The following is a DFT calculation (PBE-GGA) of a relaxed Hf2ZnAu crystal.

extended XYZ file:
```
4
Lattice="3.377 0.000 0.000 0.000 3.377 0.000 0.000 0.000 6.619" Properties=species:S:1:pos:R:3 pbc="T T T"
Hf 0.000 0.000 5.023
Hf 0.000 0.000 1.596
Zn 1.689 1.689 0.000
Au 1.689 1.689 3.309
```

Output
Its symmetry is P4/mmm, No. 123.


19.
The following is a DFT calculation (PBE-GGA) of a relaxed Hf3Zn7Au crystal.

extended XYZ file:
```
22
Lattice="3.110 0.000 0.000 -1.555 9.763 0.000 0.000 0.000 12.772" Properties=species:S:1:pos:R:3 pbc="T T T"
Hf 0.000 2.354 5.700
Hf 1.555 7.410 7.073
Hf 0.000 5.202 9.579
Hf 1.555 4.561 3.193
Hf 0.000 2.354 0.686
Hf 1.555 7.410 12.086
Zn 0.000 8.001 9.579
Zn 1.555 1.762 3.193
Zn 0.000 9.704 5.215
Zn 1.555 0.060 7.558
Zn 1.555 0.060 11.601
Zn 0.000 9.704 1.172
Zn 0.000 7.259 4.464
Zn 1.555 2.504 8.308
Zn 0.000 5.139 5.472
Zn 1.555 4.625 7.301
Zn 1.555 4.625 11.858
Zn 0.000 5.139 0.914
Zn 0.000 7.259 1.922
Zn 1.555 2.504 10.850
Au 1.555 9.093 3.193
Au 0.000 0.670 9.579
```

Output
Its symmetry is Cmcm, No. 63.


Number 1: ΔH_f (0 K) -0.93 eV/f.u.. Number 2: ΔH_f (0 K) 2.54 eV/f.u.. Number 3: ΔH_f (0 K) -2.09 eV/f.u.. Number 4: ΔH_f (0 K) -1.20 eV/f.u.. Number 5: ΔH_f (0 K) -2.23 eV/f.u.. Number 6: ΔH_f (0 K) -2.35 eV/f.u.. Number 7: ΔH_f (0 K) -0.92 eV/f.u.. Number 8: ΔH_f (0 K) -0.15 eV/f.u.. Number 9: ΔH_f (0 K) -2.42 eV/f.u.. Number 10: ΔH_f (0 K) 1.76 eV/f.u.. Number 11: ΔH_f (0 K) -0.79 eV/f.u.. Number 12: ΔH_f (0 K) -2.79 eV/f.u.. Number 13: ΔH_f (0 K) -0.35 eV/f.u.. Number 14: ΔH_f (0 K) -0.54 eV/f.u.. Number 15: ΔH_f (0 K) 0.97 eV/f.u.. Number 16: ΔH_f (0 K) 1.39 eV/f.u.. Number 17: ΔH_f (0 K) -2.29 eV/f.u.. Number 18: ΔH_f (0 K) -1.18 eV/f.u.. Number 19: ΔH_f (0 K) -0.52 eV/f.u..